A geometry-optimized TiFeP2Cl structure, computed with GGA-PBE.

```
TiFeP2Cl
1.0
4.739 0.000 0.000
0.000 4.739 0.000
0.000 0.000 4.666
P Fe Ti Cl
2 1 1 1
direct
0.000 0.500 0.000
0.500 0.000 0.000
0.500 0.500 0.500
0.000 0.000 0.000
0.000 0.000 0.500
```

Output
* VASP energy: -27.2 eV/cell
* E_form (uncorrected): 0.37 eV per atom
* mass density: 3.19 Mg/m³


A geometry-optimized TlFeP2Cl structure, computed with GGA-PBE.

```
TlFeP2Cl
1.0
-3.385 -0.387 2.623
2.640 -0.876 3.279
0.355 6.229 1.379
P Tl Fe Cl
2 1 1 1
direct
0.500 0.000 0.000
0.000 0.500 0.000
0.500 0.500 0.500
0.000 0.000 0.000
0.000 0.000 0.500
```

Output
* VASP energy: -23.2 eV/cell
* E_form (uncorrected): 0.06 eV per atom
* mass density: 5.03 Mg/m³


A geometry-optimized Tl2FePCl structure, computed with GGA-PBE.

```
Tl2FePCl
1.0
-2.008 1.350 5.411
3.588 -0.980 1.576
1.839 5.589 -0.713
Cl Fe P Tl
1 1 1 2
direct
0.000 0.000 0.000
0.000 0.500 0.000
0.500 0.500 0.500
0.000 0.000 0.500
0.500 0.000 0.000
```

Output
* VASP energy: -17.0 eV/cell
* E_form (uncorrected): 0.69 eV per atom
* mass density: 6.21 Mg/m³